## BaLaCu2Ge2 (PBE-GGA)

Data for crystalline BaLaCu2Ge2 at its relaxed geometry.

Cell: 4.318 4.318 9.077 Å, 90.00 90.00 120.00°
Fractional coordinates of all 6 atoms:
Ba1 0.000 0.000 0.000
La1 0.000 0.000 0.500
Cu1 0.333 0.667 0.727
Cu2 0.667 0.333 0.273
Ge1 0.333 0.667 0.274
Ge2 0.667 0.333 0.726

## Properties
**Volume**: 24.4 A^3/atom
**Symmetry**: No. 164
**Calculated density**: 6.22 g cm⁻³
**Energy**: -27.39 eV per cell
**Calculated formation energy**: -0.519 eV per atom